1.
Below is crystalline LaReAu at its relaxed geometry, with properties calculated at the PBE-GGA level.

Lattice parameters (Å, degrees): 2.9363 2.9363 8.0319 90.00 90.00 120.00
Positions (direct):
1 Au 0.0000 0.0000 0.9762
2 La 0.6667 0.3333 0.3378
3 Re 0.3333 0.6667 0.6860

ΔE to the lowest computed polymorph in meV per atom: 338
D(E_F) in states/eV/atom: 0.77
Total moment in μB per cell: 0.00

***

2.
Below is crystalline CsMoP3 at its relaxed geometry, with properties calculated at the PBE-GGA level.

Lattice parameters (Å, degrees): 5.1143 5.1143 5.1143 90.00 90.00 90.00
Positions (direct):
1 Cs 0.0000 0.0000 0.0000
2 P 0.5000 0.0000 0.0000
3 P 0.0000 0.0000 0.5000
4 P 0.0000 0.5000 0.0000
5 Mo 0.5000 0.5000 0.5000

ΔE to the lowest computed polymorph in meV per atom: 2767
D(E_F) in states/eV/atom: 2.85
Total moment in μB per cell: 0.00

***

3.
Below is crystalline K2YMo at its relaxed geometry, with properties calculated at the PBE-GGA level.

Lattice parameters (Å, degrees): 3.5849 3.5849 11.7875 90.00 90.00 90.02
Positions (direct):
1 Mo 0.0000 0.0000 0.5380
2 K 0.0000 0.0000 0.9656
3 K 0.5000 0.5000 0.3217
4 Y 0.5000 0.5000 0.6748

ΔE to the lowest computed polymorph in meV per atom: 0
D(E_F) in states/eV/atom: 0.81
Total moment in μB per cell: 1.82

***

- Look up the D(E_F) of the second one.
  2.85 states/eV/atom